1.
Material: Ca6Al7ClO16
Method: DFT, PBE
State: optimized geometry

SG: I-42d (122)
Magnetic moment, μB per formula unit: 0.000
Final energy, eV/f.u.: -211.031
E_form (uncorrected), eV per atom: -3.05

Cell: 10.490 10.490 10.490 Å, 109.34 109.34 109.74°
Fractional positions:
Ca 0.008 0.125 0.383
Ca 0.230 0.230 0.000
Ca 0.261 0.625 0.136
Ca 0.375 0.511 0.636
Ca 0.375 0.992 0.117
Ca 0.489 0.125 0.864
Ca 0.520 0.020 0.500
Ca 0.742 0.625 0.617
Ca 0.770 0.770 0.000
Ca 0.875 0.258 0.883
Ca 0.875 0.739 0.364
Ca 0.980 0.480 0.500
Al 0.001 0.625 0.876
Al 0.091 0.841 0.715
Al 0.125 0.376 0.285
Al 0.126 0.375 0.785
Al 0.159 0.875 0.251
Al 0.250 0.750 0.500
Al 0.375 0.251 0.376
Al 0.500 0.500 0.000
Al 0.591 0.341 0.215
Al 0.624 0.909 0.749
Al 0.625 0.409 0.751
Al 0.659 0.874 0.249
Al 0.749 0.125 0.124
Al 0.875 0.999 0.624
Cl 0.000 0.000 0.000
Cl 0.750 0.250 0.500
O 0.013 0.670 0.732
O 0.031 0.188 0.768
O 0.039 0.472 0.870
O 0.105 0.760 0.544
O 0.127 0.384 0.122
O 0.134 0.377 0.622
O 0.148 0.778 0.067
O 0.216 0.561 0.456
O 0.222 0.289 0.370
O 0.240 0.784 0.345
O 0.262 0.005 0.878
O 0.311 0.466 0.956
O 0.330 0.062 0.343
O 0.420 0.263 0.232
O 0.439 0.895 0.655
O 0.488 0.866 0.243
O 0.510 0.355 0.044
O 0.528 0.398 0.567
O 0.534 0.490 0.845
O 0.602 0.170 0.130
O 0.616 0.738 0.743
O 0.623 0.245 0.757
O 0.645 0.689 0.155
O 0.711 0.080 0.933
O 0.719 0.987 0.657
O 0.737 0.969 0.157
O 0.755 0.512 0.378
O 0.812 0.580 0.843
O 0.830 0.961 0.433
O 0.920 0.852 0.630
O 0.938 0.281 0.268
O 0.995 0.873 0.257

---

2.
Material: Ca2AlClO8
Method: DFT, PBE
State: optimized geometry

SG: P-1 (2)
Magnetic moment, μB per formula unit: 7.978
Final energy, eV/f.u.: -63.343
E_form (uncorrected), eV per atom: -1.17

Cell: 6.093 6.098 7.285 Å, 90.82 110.15 118.78°
Fractional positions:
Ca 0.222 0.363 0.098
Ca 0.778 0.637 0.902
Al 0.500 0.000 0.000
Cl 0.500 0.500 0.500
O 0.056 0.943 0.487
O 0.186 0.672 0.888
O 0.259 0.983 0.110
O 0.398 0.228 0.896
O 0.602 0.772 0.104
O 0.741 0.017 0.890
O 0.814 0.328 0.112
O 0.944 0.057 0.513